# 1
The following is a DFT calculation (PBEsol) of ScReMo after structural relaxation.

a = 6.0679 Å, b = 6.0679 Å, c = 6.0679 Å
α = 90.00°, β = 90.00°, γ = 90.00°
Sites, in units of the cell vectors:
Sc 0.0000 0.0000 0.0000
Sc 0.0000 0.5000 0.5000
Sc 0.5000 0.0000 0.5000
Sc 0.5000 0.5000 0.0000
Re 0.0000 0.0000 0.5000
Re 0.0000 0.5000 0.0000
Re 0.5000 0.0000 0.0000
Re 0.5000 0.5000 0.5000
Mo 0.2500 0.2500 0.2500
Mo 0.2500 0.7500 0.7500
Mo 0.7500 0.2500 0.7500
Mo 0.7500 0.7500 0.2500

ρ = 9.7 g/cm3
space group = F-43m
formation energy = 0.575 eV per atom
spin magnetization = 0.00 μB per formula unit

# 2
The following is a DFT calculation (PBEsol) of Ta3BiOs after structural relaxation.

a = 4.9389 Å, b = 4.9389 Å, c = 4.9389 Å
α = 90.00°, β = 90.00°, γ = 90.00°
Sites, in units of the cell vectors:
Ta 0.0000 0.0000 0.5000
Ta 0.0000 0.5000 0.0000
Ta 0.5000 0.0000 0.0000
Bi 0.0000 0.0000 0.0000
Os 0.5000 0.5000 0.5000

ρ = 13.0 g/cm3
space group = Pm-3m
formation energy = 2.977 eV per atom
spin magnetization = 0.00 μB per formula unit

# 3
The following is a DFT calculation (PBEsol) of Hg3Au after structural relaxation.

a = 13.3129 Å, b = 2.8910 Å, c = 4.9527 Å
α = 90.00°, β = 111.45°, γ = 90.00°
Sites, in units of the cell vectors:
Hg 0.0000 0.0000 0.0000
Hg 0.2083 0.0000 0.7089
Hg 0.2917 0.5000 0.2911
Hg 0.5000 0.5000 0.0000
Hg 0.7083 0.5000 0.7089
Hg 0.7917 0.0000 0.2911
Au 0.0000 0.5000 0.5000
Au 0.5000 0.0000 0.5000

ρ = 15.0 g/cm3
space group = C2/m
formation energy = 0.032 eV per atom
spin magnetization = 0.00 μB per formula unit

Number 1: V 223.42 Å³ per cell. Number 2: V 120.47 Å³ per cell. Number 3: V 177.42 Å³ per cell.